<one>
The following is a DFT calculation (GGA-PBE) of an optimized crystal structure of HfCoCuPb.

Cell lengths 4.606, 4.606, 4.606 Å; angles 60.00, 60.00, 60.00 degrees
Element x y z (fractional)
Hf  0.000  0.000  0.000
Co  0.250  0.250  0.250
Cu  0.500  0.500  0.500
Pb  0.750  0.750  0.750

crystal system	cubic
magnetic moment	0.61	μB/f.u.
ρ	12.21	g/cm3


<two>
The following is a DFT calculation (GGA-PBE) of an optimized crystal structure of HfCoCuPb.

Cell lengths 4.524, 4.524, 4.524 Å; angles 60.00, 60.00, 60.00 degrees
Element x y z (fractional)
Hf  0.000  0.000  0.000
Co  0.750  0.750  0.750
Cu  0.250  0.250  0.250
Pb  0.500  0.500  0.500

crystal system	cubic
magnetic moment	0.00	μB/f.u.
ρ	12.89	g/cm3


If you had to name the least stable structure above, which would it be? It would be <one>.